## KSrZrAg2 (PBE-GGA)

Data for a relaxed structure of KSrZrAg2.

The value obtained for the electronic total energy is -2.155 eV per atom. Its crystal system is tetragonal. The calculation puts the formation energy from the elements at 6.3 eV/f.u. The calculation puts the spin magnetization at 2.820 Bohr magnetons per cell.

The space group is P4/mmm (No. 123) and the conventional cell measures 5.524, 5.524 and 5.719 Å, with angles of 90.00, 90.00 and 90.00 degrees. The distinct sites, in fractional coordinates, are K at (0.000, 0.000, 0.000), Sr at (0.000, 0.000, 0.500), Zr at (0.500, 0.500, 0.000) and Ag at (0.000, 0.500, 0.500).


## HfCo2BC (PBE-GGA)

Data for a relaxed structure of HfCo2BC.

The value obtained for the electronic total energy is -7.503 eV per atom. Its crystal system is tetragonal. The calculation puts the formation energy from the elements at 2.6 eV/f.u. The calculation puts the spin magnetization at 1.270 Bohr magnetons per cell.

The space group is P4/mmm (No. 123) and the conventional cell measures 3.596, 3.596 and 4.714 Å, with angles of 90.00, 90.00 and 90.00 degrees. The distinct sites, in fractional coordinates, are Hf at (0.000, 0.000, 0.000), Co at (0.000, 0.500, 0.500), B at (0.000, 0.000, 0.500) and C at (0.500, 0.500, 0.000).


## BaAgB2F8 (PBE-GGA)

Data for a relaxed structure of BaAgB2F8.

As for the raw formation energy: -2.7280 eV per atom. The value obtained for the electronic total energy is -5.486 eV per atom. Its crystal system is trigonal. The calculation puts the spin magnetization at 2.299 Bohr magnetons per cell.

The space group is R-3m (No. 166, hexagonal axes) and the conventional cell measures 5.7150, 5.7150 and 22.6163 Å, with angles of 90.00, 90.00 and 120.00 degrees. The distinct sites, in fractional coordinates, are Ba at (0.0000, 0.0000, 0.0000), Ag at (0.0000, 0.0000, 0.5000), B at (0.0000, 0.0000, 0.2696), F at (0.0000, 0.0000, 0.3334) and F at (0.0620, 0.5310, 0.4163).


## SbHOsI2 (PBE-GGA)

Data for a relaxed structure of SbHOsI2.

The value obtained for the electronic total energy is -3.364 eV per atom. Its crystal system is tetragonal. The value obtained for the energy above the most stable polymorph in this dataset is 0.0 kJ per mole of atoms. The calculation puts the spin magnetization at 1.685 Bohr magnetons per cell.

The space group is P4/mmm (No. 123) and the conventional cell measures 5.696, 5.696 and 4.992 Å, with angles of 90.00, 90.00 and 90.00 degrees. The distinct sites, in fractional coordinates, are Sb at (0.000, 0.000, 0.000), H at (0.500, 0.500, 0.000), Os at (0.000, 0.000, 0.500) and I at (0.000, 0.500, 0.500).